A plane-wave DFT calculation with GGA-PBE was carried out for a relaxed Al3GaSn crystal.

* calculated formation energy: 0.47 eV/atom
* relative energy among the computed polymorphs: 0 meV per atom

POSCAR file:
```
Al3GaSn
1.0
-1.084 -0.527 4.737
4.158 -2.479 0.676
2.330 4.180 0.999
Al Sn Ga
3 1 1
Cartesian
1.165 2.090 0.499
2.079 -1.240 0.338
-0.542 -0.264 2.368
2.702 0.587 3.206
0.000 0.000 0.000
```



A plane-wave DFT calculation with GGA-PBE was carried out for a relaxed AlGaSn crystal.

* calculated formation energy: 0.15 eV/atom
* relative energy among the computed polymorphs: 91 meV per atom

POSCAR file:
```
AlGaSn
1.0
-0.530 2.025 4.069
0.489 -4.646 -0.198
8.005 2.702 -0.302
Ga Al Sn
2 2 2
Cartesian
5.696 -0.307 3.467
2.268 0.388 0.103
0.218 -1.215 0.633
7.746 1.295 2.937
2.670 0.189 2.827
5.294 -0.108 0.743
```



A plane-wave DFT calculation with GGA-PBE was carried out for a relaxed Al2GaSn2 crystal.

* calculated formation energy: 0.17 eV/atom
* relative energy among the computed polymorphs: 6 meV per atom

POSCAR file:
```
Al2GaSn2
1.0
7.959 0.000 0.000
0.000 7.959 0.000
0.000 0.000 3.576
Sn Al Ga
4 4 2
Cartesian
2.625 1.354 1.788
6.605 2.625 1.788
1.354 5.334 1.788
5.334 6.605 1.788
1.004 2.976 0.000
2.976 6.955 0.000
4.984 1.004 0.000
6.955 4.984 0.000
3.980 3.980 0.000
0.000 0.000 0.000
```



A plane-wave DFT calculation with GGA-PBE was carried out for a relaxed AlGa2Sn crystal.

* calculated formation energy: 0.11 eV/atom
* relative energy among the computed polymorphs: 40 meV per atom

POSCAR file:
```
AlGa2Sn
1.0
4.126 0.000 0.000
0.000 4.126 0.000
2.063 2.063 10.078
Al Ga Sn
2 4 2
Cartesian
2.063 4.126 5.039
2.063 2.063 0.000
5.158 5.059 7.559
2.996 1.032 2.520
3.095 3.193 7.559
1.130 3.095 2.520
4.126 2.063 5.039
0.000 0.000 0.000
```



A plane-wave DFT calculation with GGA-PBE was carried out for a relaxed Al5Ga12Sn3 crystal.

* calculated formation energy: 0.21 eV/atom

POSCAR file:
```
Al5Ga12Sn3
1.0
13.613 0.000 0.000
-4.538 12.835 0.000
-4.538 -6.417 11.115
Al Ga Sn
20 48 12
Cartesian
1.134 -3.209 8.336
-3.403 7.219 4.168
3.403 2.406 1.389
6.807 0.000 0.000
-2.269 -3.209 5.558
5.672 -4.011 9.726
5.672 5.615 4.168
4.538 -3.209 5.558
-2.269 6.417 0.000
-4.538 3.209 5.558
0.000 0.000 0.000
-1.134 3.209 2.779
-1.134 0.802 6.947
7.941 -0.802 6.947
4.538 6.417 0.000
-1.134 10.428 1.389
2.269 3.209 5.558
5.672 3.209 8.336
1.134 4.011 9.726
3.403 9.626 2.779
-0.867 7.378 4.494
7.287 -0.750 2.479
6.858 3.344 4.142
-1.831 -0.138 9.226
0.052 4.366 4.732
5.940 2.045 1.415
-1.402 -3.412 8.036
2.749 1.437 3.669
4.057 -1.437 3.669
-1.788 -0.687 4.967
9.024 1.293 0.590
5.018 5.668 8.636
6.368 6.555 1.889
2.217 8.468 4.732
4.486 2.051 6.383
4.976 -1.567 10.052
-4.486 5.124 10.525
1.788 4.980 7.446
1.831 1.567 10.052
-4.976 0.138 9.226
2.707 4.851 1.063
6.858 11.541 0.590
0.480 7.854 7.446
-0.438 4.713 0.825
8.208 -4.372 9.700
-3.671 10.790 1.415
-4.590 9.490 4.142
-5.405 3.412 8.036
8.595 0.687 4.967
1.402 0.960 6.621
3.136 5.457 4.494
-0.480 0.750 2.479
2.707 8.122 0.825
6.326 7.104 6.148
-1.402 4.372 9.700
-2.321 -5.124 10.525
-4.057 5.730 6.148
9.514 6.280 1.889
2.321 -2.051 6.383
4.976 1.704 10.290
-2.321 3.073 6.973
-0.438 7.984 1.063
9.942 3.005 3.079
1.831 -1.704 10.290
5.940 9.829 3.079
9.127 -3.073 6.973
-2.749 7.167 8.636
5.405 -0.960 6.621
7.941 8.824 1.389
-1.134 5.615 6.947
7.941 4.011 1.389
1.134 6.417 2.779
1.134 -0.802 4.168
5.672 0.802 4.168
-5.672 6.417 8.336
3.403 0.000 8.336
3.403 7.219 6.947
-3.403 -2.406 9.726
-3.403 2.406 9.726
10.210 0.000 2.779
```



A plane-wave DFT calculation with GGA-PBE was carried out for a relaxed AlGaSn3 crystal.

* calculated formation energy: 0.45 eV/atom
* relative energy among the computed polymorphs: 0 meV per atom

POSCAR file:
```
AlGaSn3
1.0
5.318 0.000 0.000
0.000 5.318 0.000
0.000 0.000 5.318
Sn Ga Al
3 1 1
Cartesian
0.000 2.659 0.000
0.000 0.000 2.659
2.659 0.000 0.000
2.659 2.659 2.659
0.000 0.000 0.000
```



A plane-wave DFT calculation with GGA-PBE was carried out for a relaxed Al6Ga12Sn crystal.

* calculated formation energy: 0.04 eV/atom

POSCAR file:
```
Al6Ga12Sn
1.0
7.678 -0.255 -0.359
-2.150 7.376 -0.359
-2.150 -2.770 6.845
Ga Sn Al
12 1 6
Cartesian
-0.933 1.570 2.212
1.625 4.866 3.915
4.311 2.780 3.915
-2.087 5.107 3.064
1.689 -1.722 5.831
1.753 -0.515 2.212
5.465 3.141 0.296
-2.087 1.209 5.831
1.689 6.073 0.296
1.753 2.258 0.243
5.465 -0.756 3.064
1.625 2.093 5.884
0.000 0.000 0.000
-0.540 3.122 4.397
0.219 4.100 1.730
0.219 0.282 4.441
3.158 4.068 1.686
3.158 0.251 4.397
3.917 1.229 1.730
```



A plane-wave DFT calculation with GGA-PBE was carried out for a relaxed AlGaSn crystal.

* calculated formation energy: 0.06 eV/atom
* relative energy among the computed polymorphs: 0 meV per atom

POSCAR file:
```
AlGaSn
1.0
-2.753 1.680 3.360
0.628 -1.345 4.414
1.708 2.999 3.127
Al Sn Ga
1 1 1
Cartesian
-0.104 0.834 2.725
-0.208 1.667 5.451
0.000 0.000 0.000
```



| no. | total energy (eV per atom) |
| --- | --- |
| 1 | -3.1768 |
| 2 | -3.4362 |
| 3 | -3.5380 |
| 4 | -3.3440 |
| 5 | -3.1430 |
| 6 | -3.3087 |
| 7 | -3.2608 |
| 8 | -3.5271 |